Density functional theory data (PBE) for an optimized crystal structure of Zn2SbIr.

abc: 4.1362 3.3008 5.3914
angles: 71.78 90.00 90.00
Positions (direct):
1 Zn 0.0000 0.0227 0.0787
2 Zn 0.5000 0.4591 0.2092
3 Ir 0.0000 0.3048 0.5168
4 Sb 0.5000 0.7135 0.6953

**Crystal system**: monoclinic
**Electronic total energy**: -3.89 eV/atom
**Distance to the lowest polymorph of the same formula**: 13 meV per atom
**Fermi-level density of states**: 1.6 states/eV/f.u.
**Size of the total moment**: 0.0 Bohr magnetons per cell

---

Density functional theory data (PBE) for an optimized crystal structure of Ca2PmGa.

abc: 5.2054 4.7834 4.7834
angles: 90.00 90.00 90.00
Positions (direct):
1 Ca 0.0000 0.0000 0.5000
2 Ca 0.0000 0.5000 0.0000
3 Pm 0.5000 0.0000 0.0000
4 Ga 0.5000 0.5000 0.5000

**Energy relative to the elements**: -0.17 eV per atom
**Crystal system**: tetragonal
**Electronic total energy**: -3.11 eV/atom
**Distance to the lowest polymorph of the same formula**: 46 meV per atom
**Fermi-level density of states**: 1.5 states/eV/f.u.
**Size of the total moment**: 0.0 Bohr magnetons per cell

---

Density functional theory data (PBE) for an optimized crystal structure of Cr2TeRuCl.

abc: 4.2256 5.5516 4.2256
angles: 90.00 90.00 90.00
Last column: magnetic moment on the atom in μB.
Positions (direct):
1 Cl 0.0000 0.0000 0.0000  -0.03
2 Te 0.0000 0.5000 0.0000  -0.04
3 Ru 0.5000 0.5000 0.5000  -1.06
4 Cr 0.5000 0.0000 0.0000  2.84
5 Cr 0.0000 0.0000 0.5000  2.81

**Crystal system**: tetragonal
**Electronic total energy**: -5.45 eV/atom
**Distance to the lowest polymorph of the same formula**: 135 meV per atom
**Fermi-level density of states**: 9.2 states/eV/f.u.
**Size of the total moment**: 4.8 Bohr magnetons per cell

---

Density functional theory data (PBE) for an optimized crystal structure of SrBN2F.

abc: 3.3039 3.3039 4.8707
angles: 90.00 90.00 90.00
Positions (direct):
1 B 0.0000 0.0000 0.0000
2 N 0.5000 0.0000 0.0000
3 N 0.0000 0.5000 0.0000
4 F 0.0000 0.0000 0.5000
5 Sr 0.5000 0.5000 0.5000

**Crystal system**: tetragonal
**Electronic total energy**: -6.03 eV/atom
**Distance to the lowest polymorph of the same formula**: 0 meV per atom
**Fermi-level density of states**: 0.6 states/eV/f.u.
**Size of the total moment**: 0.0 Bohr magnetons per cell

---

Density functional theory data (PBE) for an optimized crystal structure of YPaRhAu.

abc: 5.0011 5.0011 5.0011
angles: 60.00 60.00 60.00
Last column: magnetic moment on the atom in μB.
Positions (direct):
1 Y 0.7500 0.7500 0.7500  0.07
2 Rh 0.5000 0.5000 0.5000  -0.05
3 Pa 0.2500 0.2500 0.2500  0.61
4 Au 0.0000 0.0000 0.0000  0.00

**Energy relative to the elements**: -0.52 eV per atom
**Crystal system**: cubic
**Electronic total energy**: -7.17 eV/atom
**Fermi-level density of states**: 6.1 states/eV/f.u.
**Size of the total moment**: 0.8 Bohr magnetons per cell

---

Density functional theory data (PBE) for an optimized crystal structure of NaAlAgCl6.

abc: 6.1609 6.4726 6.4726
angles: 120.00 90.00 90.00
Last column: magnetic moment on the atom in μB.
Positions (direct):
1 Cl 0.2769 0.9868 0.7000  0.10
2 Cl 0.7231 0.3000 0.0132  0.10
3 Cl 0.2769 0.7132 0.0132  0.10
4 Cl 0.7231 0.9868 0.2868  0.10
5 Cl 0.7231 0.7132 0.7000  0.10
6 Cl 0.2769 0.3000 0.2868  0.10
7 Ag 0.5000 0.6667 0.3333  0.36
8 Na 0.0000 0.3333 0.6667  0.00
9 Al 0.5000 0.0000 0.0000  0.00

**Crystal system**: trigonal
**Electronic total energy**: -3.26 eV/atom
**Fermi-level density of states**: 6.8 states/eV/f.u.
**Size of the total moment**: 1.1 Bohr magnetons per cell

---

Density functional theory data (PBE) for an optimized crystal structure of K2AgAu2.

abc: 9.8691 9.8691 2.9579
angles: 90.00 90.00 90.00
Positions (direct):
1 K 0.6855 0.1855 0.0000
2 K 0.1855 0.3145 0.0000
3 K 0.8145 0.6855 0.0000
4 K 0.3145 0.8145 0.0000
5 Au 0.6070 0.8930 0.5000
6 Au 0.3930 0.1070 0.5000
7 Au 0.1070 0.6070 0.5000
8 Au 0.8930 0.3930 0.5000
9 Ag 0.0000 0.0000 0.0000
10 Ag 0.5000 0.5000 0.0000

**Energy relative to the elements**: 0.05 eV per atom
**Crystal system**: tetragonal
**Electronic total energy**: -2.27 eV/atom
**Distance to the lowest polymorph of the same formula**: 298 meV per atom
**Fermi-level density of states**: 1.3 states/eV/f.u.
**Size of the total moment**: 0.0 Bohr magnetons per cell

---

Density functional theory data (PBE) for an optimized crystal structure of Rb4Ce3NpTe8.

abc: 9.3385 10.0925 9.3386
angles: 117.55 120.00 90.00
Last column: magnetic moment on the atom in μB.
Positions (direct):
1 Rb 0.5000 0.0000 0.5000  0.00
2 Rb 0.5000 0.0000 0.0000  0.00
3 Rb 0.0000 0.0000 0.0000  0.00
4 Rb 0.0000 0.0000 0.5000  0.00
5 Te 0.7349 0.7047 0.4698  -0.02
6 Te 0.7369 0.7025 0.9697  -0.04
7 Te 0.2327 0.7025 0.4655  -0.04
8 Te 0.2651 0.2953 0.5302  -0.02
9 Te 0.7672 0.2975 0.0303  -0.04
10 Te 0.7673 0.2975 0.5345  -0.04
11 Te 0.2328 0.7025 0.9697  -0.04
12 Te 0.2631 0.2975 0.0303  -0.04
13 Np 0.0000 0.5000 0.0000  4.05
14 Ce 0.5000 0.5000 0.5000  0.97
15 Ce 0.5000 0.5000 0.0000  0.97
16 Ce 0.0000 0.5000 0.5000  0.97

**Crystal system**: trigonal
**Electronic total energy**: -4.96 eV/atom
**Fermi-level density of states**: 28.4 states/eV/f.u.
**Size of the total moment**: 7.0 Bohr magnetons per cell

---

Density functional theory data (PBE) for an optimized crystal structure of Sm3ThTl3Te8.

abc: 9.0129 9.0131 9.7395
angles: 117.56 90.00 120.00
Positions (direct):
1 Te 0.7390 0.9780 0.7170
2 Te 0.7610 0.0220 0.2830
3 Te 0.2610 0.0220 0.2830
4 Te 0.7393 0.4786 0.7178
5 Te 0.2390 0.9780 0.7170
6 Te 0.7610 0.5219 0.2830
7 Te 0.2390 0.4781 0.7170
8 Te 0.2607 0.5214 0.2822
9 Tl 0.0000 0.5000 0.0000
10 Tl 0.0000 0.0000 0.0000
11 Tl 0.5000 0.5000 0.0000
12 Sm 0.5000 0.0000 0.5000
13 Sm 0.0000 0.5000 0.5000
14 Sm 0.5000 0.5000 0.5000
15 Th 0.0000 0.0000 0.5000

**Crystal system**: trigonal
**Electronic total energy**: -4.68 eV/atom
**Size of the total moment**: 0.0 Bohr magnetons per cell

---

Density functional theory data (PBE) for an optimized crystal structure of Gd2HfMg.

abc: 3.4605 5.5822 5.5822
angles: 90.00 90.00 90.00
Last column: magnetic moment on the atom in μB.
Positions (direct):
1 Hf 0.5000 0.5000 0.5000  0.09
2 Mg 0.5000 0.0000 0.0000  0.00
3 Gd 0.0000 0.5000 0.0000  7.17
4 Gd 0.0000 0.0000 0.5000  7.17

**Energy relative to the elements**: 0.13 eV per atom
**Crystal system**: tetragonal
**Electronic total energy**: -9.79 eV/atom
**Distance to the lowest polymorph of the same formula**: 111 meV per atom
**Fermi-level density of states**: 5.7 states/eV/f.u.
**Size of the total moment**: 15.1 Bohr magnetons per cell

---

Density functional theory data (PBE) for an optimized crystal structure of Ta2SiBiRu.

abc: 4.7563 4.4482 4.7563
angles: 90.00 90.00 90.00
Positions (direct):
1 Bi 0.5000 0.5000 0.5000
2 Ta 0.5000 0.0000 0.0000
3 Ta 0.0000 0.0000 0.5000
4 Si 0.0000 0.0000 0.0000
5 Ru 0.0000 0.5000 0.0000

**Crystal system**: tetragonal
**Electronic total energy**: -7.75 eV/atom
**Fermi-level density of states**: 5.9 states/eV/f.u.
**Size of the total moment**: 0.0 Bohr magnetons per cell

---

Density functional theory data (PBE) for an optimized crystal structure of Ag2SnBiP.

abc: 4.7806 5.5423 4.7806
angles: 90.00 90.00 90.00
Positions (direct):
1 Sn 0.0000 0.5000 0.0000
2 Ag 0.5000 0.0000 0.0000
3 Ag 0.0000 0.0000 0.5000
4 Bi 0.5000 0.5000 0.5000
5 P 0.0000 0.0000 0.0000

**Energy relative to the elements**: 0.29 eV per atom
**Crystal system**: tetragonal
**Electronic total energy**: -3.51 eV/atom
**Fermi-level density of states**: 2.9 states/eV/f.u.
**Size of the total moment**: 0.0 Bohr magnetons per cell

---

The lowest electronic total energy belongs to which entry? Gd2HfMg

---

size of the total moment of number 9 (Sm3ThTl3Te8)? 0.0 Bohr magnetons per cell